*a*
# PBE LiCrNi2, relaxed
data_LiCrNi2
_space_group_name_H-M_alt 'I m m 2'
_space_group_IT_number 44
_cell_length_a 2.685
_cell_length_b 4.101
_cell_length_c 8.454
_cell_angle_alpha 90.00
_cell_angle_beta 90.00
_cell_angle_gamma 90.00
loop_
_space_group_symop_operation_xyz
'x,y,z'
'-x,-y,z'
'-x,y,z'
'x,-y,z'
'x+1/2,y+1/2,z+1/2'
'-x+1/2,-y+1/2,z+1/2'
'-x+1/2,y+1/2,z+1/2'
'x+1/2,-y+1/2,z+1/2'
loop_
_atom_site_label
_atom_site_type_symbol
_atom_site_fract_x
_atom_site_fract_y
_atom_site_fract_z
_atom_site_occupancy
Li1 Li 0.000 0.000 0.000 1
Cr1 Cr 0.000 0.500 0.773 1
Ni1 Ni 0.000 0.000 0.507 1
Ni2 Ni 0.000 0.500 0.251 1
# - N(E_F): 11.1 states/eV/cell
# - ρ: 6.29 g cm⁻³

=====

*b*
# PBE LiCrNi2, relaxed
data_LiCrNi2
_space_group_name_H-M_alt 'C m m 2'
_space_group_IT_number 35
_cell_length_a 2.798
_cell_length_b 3.930
_cell_length_c 8.392
_cell_angle_alpha 90.00
_cell_angle_beta 90.00
_cell_angle_gamma 90.00
loop_
_space_group_symop_operation_xyz
'x,y,z'
'-x,-y,z'
'-x,y,z'
'x,-y,z'
'x+1/2,y+1/2,z'
'-x+1/2,-y+1/2,z'
'-x+1/2,y+1/2,z'
'x+1/2,-y+1/2,z'
loop_
_atom_site_label
_atom_site_type_symbol
_atom_site_fract_x
_atom_site_fract_y
_atom_site_fract_z
_atom_site_occupancy
Li1 Li 0.000 0.000 0.000 1
Cr1 Cr 0.000 0.500 0.718 1
Ni1 Ni 0.000 0.000 0.484 1
Ni2 Ni 0.000 0.500 0.245 1
# - N(E_F): 8.1 states/eV/cell
# - ρ: 6.35 g cm⁻³

=====

*c*
# PBE LiCrNi2, relaxed
data_LiCrNi2
_space_group_name_H-M_alt 'F m -3 m'
_space_group_IT_number 225
_space_group_name_Hall '-F 4 2 3'
_cell_length_a 5.684
_cell_length_b 5.684
_cell_length_c 5.684
_cell_angle_alpha 90.00
_cell_angle_beta 90.00
_cell_angle_gamma 90.00
loop_
_atom_site_label
_atom_site_type_symbol
_atom_site_fract_x
_atom_site_fract_y
_atom_site_fract_z
_atom_site_occupancy
Li1 Li 0.000 0.000 0.000 1
Cr1 Cr 0.000 0.000 0.500 1
Ni1 Ni 0.250 0.250 0.250 1
# - N(E_F): 23.4 states/eV/cell
# - ρ: 6.38 g cm⁻³

=====

Which of them is the most stable? Correct choice: *c*.

=====

*a*
# PBE LiCrNi2, relaxed
data_LiCrNi2
_space_group_name_H-M_alt 'P m m m'
_space_group_IT_number 47
_cell_length_a 2.496
_cell_length_b 3.483
_cell_length_c 5.176
_cell_angle_alpha 90.00
_cell_angle_beta 90.00
_cell_angle_gamma 90.00
loop_
_space_group_symop_operation_xyz
'x,y,z'
'-x,-y,-z'
'-x,-y,z'
'x,y,-z'
'x,-y,-z'
'-x,y,z'
'-x,y,-z'
'x,-y,z'
loop_
_atom_site_label
_atom_site_type_symbol
_atom_site_fract_x
_atom_site_fract_y
_atom_site_fract_z
_atom_site_occupancy
Li1 Li 0.000 0.000 0.000 1
Cr1 Cr 0.000 0.000 0.500 1
Ni1 Ni 0.500 0.500 0.256 1
# - N(E_F): 4.4 states/eV/cell
# - ρ: 6.51 g cm⁻³

=====

*b*
# PBE LiCrNi2, relaxed
data_LiCrNi2
_space_group_name_H-M_alt 'C 1 2/m 1'
_space_group_IT_number 12
_cell_length_a 8.090
_cell_length_b 2.427
_cell_length_c 4.635
_cell_angle_alpha 90.00
_cell_angle_beta 95.61
_cell_angle_gamma 90.00
loop_
_space_group_symop_operation_xyz
'x,y,z'
'-x,-y,-z'
'-x,y,-z'
'x,-y,z'
'x+1/2,y+1/2,z'
'-x+1/2,-y+1/2,-z'
'-x+1/2,y+1/2,-z'
'x+1/2,-y+1/2,z'
loop_
_atom_site_label
_atom_site_type_symbol
_atom_site_fract_x
_atom_site_fract_y
_atom_site_fract_z
_atom_site_occupancy
Li1 Li 0.000 0.000 0.000 1
Cr1 Cr 0.000 0.500 0.500 1
Ni1 Ni 0.248 0.000 0.745 1
# - N(E_F): 10.7 states/eV/cell
# - ρ: 6.47 g cm⁻³

=====

*c*
# PBE LiCrNi2, relaxed
data_LiCrNi2
_space_group_name_H-M_alt 'C 1 m 1'
_space_group_IT_number 8
_cell_length_a 8.551
_cell_length_b 2.446
_cell_length_c 4.364
_cell_angle_alpha 90.00
_cell_angle_beta 99.70
_cell_angle_gamma 90.00
loop_
_space_group_symop_operation_xyz
'x,y,z'
'x,-y,z'
'x+1/2,y+1/2,z'
'x+1/2,-y+1/2,z'
loop_
_atom_site_label
_atom_site_type_symbol
_atom_site_fract_x
_atom_site_fract_y
_atom_site_fract_z
_atom_site_occupancy
Li1 Li 0.000 0.000 0.000 1
Cr1 Cr 0.228 0.000 0.666 1
Ni1 Ni 0.253 0.500 0.175 1
Ni2 Ni 0.482 0.000 0.492 1
# - N(E_F): 8.4 states/eV/cell
# - ρ: 6.51 g cm⁻³

=====

Which of them is the most stable? Correct choice: *c*.

=====

*a*
# PBE LiCrNi2, relaxed
data_LiCrNi2
_space_group_name_H-M_alt 'R -3 m'
_space_group_IT_number 166
_space_group_name_Hall '-R 3 2"'
_cell_length_a 2.5040
_cell_length_b 2.5040
_cell_length_c 25.2345
_cell_angle_alpha 90.00
_cell_angle_beta 90.00
_cell_angle_gamma 120.00
loop_
_atom_site_label
_atom_site_type_symbol
_atom_site_fract_x
_atom_site_fract_y
_atom_site_fract_z
_atom_site_occupancy
Li1 Li 0.0000 0.0000 0.0000 1
Cr1 Cr 0.0000 0.0000 0.5000 1
Ni1 Ni 0.0000 0.0000 0.2474 1
# - N(E_F): 16.0 states/eV/cell
# - ρ: 6.41 g cm⁻³

=====

*b*
# PBE LiCrNi2, relaxed
data_LiCrNi2
_space_group_name_H-M_alt 'I -4 m 2'
_space_group_IT_number 119
_space_group_name_Hall 'I -4 -2'
_cell_length_a 3.526
_cell_length_b 3.526
_cell_length_c 7.394
_cell_angle_alpha 90.00
_cell_angle_beta 90.00
_cell_angle_gamma 90.00
loop_
_atom_site_label
_atom_site_type_symbol
_atom_site_fract_x
_atom_site_fract_y
_atom_site_fract_z
_atom_site_occupancy
Li1 Li 0.000 0.000 0.000 1
Cr1 Cr 0.000 0.500 0.250 1
Ni1 Ni 0.000 0.000 0.500 1
Ni2 Ni 0.000 0.500 0.750 1
# - N(E_F): 8.7 states/eV/cell
# - ρ: 6.37 g cm⁻³

=====

Which of them is the most stable? Correct choice: *a*.